# 1
A plane-wave DFT calculation with GGA-PBE was carried out for a relaxed LaGd2Tl crystal.

a b c (Å): 5.5456 5.5456 5.5456
angles (deg): 60.00 60.00 60.00
Site moments in Bohr magnetons follow the coordinates.
Sites, in units of the cell vectors:
1 La 0.0000 0.0000 0.0000  0.59
2 Gd 0.2500 0.2500 0.2500  7.47
3 Gd 0.7500 0.7500 0.7500  7.47
4 Tl 0.5000 0.5000 0.5000  -0.02

## Properties
Total energy in eV per atom: -8.946
Calculated formation energy in eV/atom: -0.08

---

# 2
A plane-wave DFT calculation with GGA-PBE was carried out for a relaxed LaGd2Tl crystal.

a b c (Å): 3.6850 3.6850 9.2545
angles (deg): 90.00 90.00 90.00
Site moments in Bohr magnetons follow the coordinates.
Sites, in units of the cell vectors:
1 La 0.5000 0.5000 0.5000  0.00
2 Gd 0.0000 0.0000 0.2230  7.16
3 Tl 0.5000 0.5000 0.0000  -0.01
4 Gd 0.0000 0.0000 0.7770  7.16

## Properties
Total energy in eV per atom: -9.055
Calculated formation energy in eV/atom: -0.19

---

# 3
A plane-wave DFT calculation with GGA-PBE was carried out for a relaxed LaGdTl crystal.

a b c (Å): 3.9089 3.9089 6.8739
angles (deg): 106.52 106.52 90.00
Site moments in Bohr magnetons follow the coordinates.
Sites, in units of the cell vectors:
1 Tl 0.6746 0.6746 0.3491  0.00
2 La 0.0091 0.0091 0.0183  0.20
3 Gd 0.3163 0.3163 0.6326  7.33

## Properties
Total energy in eV per atom: -7.373
Calculated formation energy in eV/atom: -0.25

---

# 4
A plane-wave DFT calculation with GGA-PBE was carried out for a relaxed LaGdYTl crystal.

a b c (Å): 5.5753 5.5753 5.5753
angles (deg): 60.00 60.00 60.00
Site moments in Bohr magnetons follow the coordinates.
Sites, in units of the cell vectors:
1 Y 0.7500 0.7500 0.7500  0.25
2 La 0.2500 0.2500 0.2500  0.18
3 Tl 0.0000 0.0000 0.0000  -0.03
4 Gd 0.5000 0.5000 0.5000  7.47

## Properties
Total energy in eV per atom: -7.066
Calculated formation energy in eV/atom: -0.11

---

# 5
A plane-wave DFT calculation with GGA-PBE was carried out for a relaxed LaGdTlZn crystal.

a b c (Å): 5.3961 5.3961 5.3961
angles (deg): 60.00 60.00 60.00
Site moments in Bohr magnetons follow the coordinates.
Sites, in units of the cell vectors:
1 Zn 0.7500 0.7500 0.7500  0.03
2 La 0.0000 0.0000 0.0000  0.18
3 Tl 0.2500 0.2500 0.2500  -0.01
4 Gd 0.5000 0.5000 0.5000  7.25

## Properties
Total energy in eV per atom: -6.016
Calculated formation energy in eV/atom: -0.35

---

# 6
A plane-wave DFT calculation with GGA-PBE was carried out for a relaxed LaGd2Tm crystal.

a b c (Å): 5.7297 5.7297 5.7297
angles (deg): 60.00 60.00 60.00
Site moments in Bohr magnetons follow the coordinates.
Sites, in units of the cell vectors:
1 Gd 0.7500 0.7500 0.7500  -7.38
2 La 0.5000 0.5000 0.5000  -0.27
3 Gd 0.2500 0.2500 0.2500  -7.38
4 Tm 0.0000 0.0000 0.0000  -0.24

## Properties
Total energy in eV per atom: -9.288
Calculated formation energy in eV/atom: 0.10

---

# 7
A plane-wave DFT calculation with GGA-PBE was carried out for a relaxed La2GdTm crystal.

a b c (Å): 5.8011 5.8011 5.8011
angles (deg): 60.00 60.00 60.00
Site moments in Bohr magnetons follow the coordinates.
Sites, in units of the cell vectors:
1 Gd 0.5000 0.5000 0.5000  7.24
2 La 0.2500 0.2500 0.2500  0.06
3 Tm 0.0000 0.0000 0.0000  0.04
4 La 0.7500 0.7500 0.7500  0.06

## Properties
Total energy in eV per atom: -7.020
Calculated formation energy in eV/atom: 0.08

---

# 8
A plane-wave DFT calculation with GGA-PBE was carried out for a relaxed La2GdTm crystal.

a b c (Å): 5.0328 5.2044 5.2044
angles (deg): 90.00 90.00 90.00
Site moments in Bohr magnetons follow the coordinates.
Sites, in units of the cell vectors:
1 Gd 0.5000 0.5000 0.5000  7.17
2 La 0.0000 0.5000 0.0000  -0.01
3 La 0.0000 0.0000 0.5000  -0.01
4 Tm 0.5000 0.0000 0.0000  -0.01

## Properties
Total energy in eV per atom: -7.083
Calculated formation energy in eV/atom: 0.02

---

# 9
A plane-wave DFT calculation with GGA-PBE was carried out for a relaxed LaGd2Tm crystal.

a b c (Å): 5.1101 5.0824 5.0824
angles (deg): 90.00 90.00 90.00
Site moments in Bohr magnetons follow the coordinates.
Sites, in units of the cell vectors:
1 Gd 0.0000 0.0000 0.5000  -7.18
2 La 0.5000 0.0000 0.0000  0.02
3 Tm 0.5000 0.5000 0.5000  -0.04
4 Gd 0.0000 0.5000 0.0000  -7.18

## Properties
Total energy in eV per atom: -9.363
Calculated formation energy in eV/atom: 0.03

---

# 10
A plane-wave DFT calculation with GGA-PBE was carried out for a relaxed LaGd4Tm crystal.

a b c (Å): 6.6195 6.6195 6.6195
angles (deg): 60.00 60.00 60.00
Site moments in Bohr magnetons follow the coordinates.
Sites, in units of the cell vectors:
1 Gd 0.1234 0.6255 0.6255  7.16
2 La 0.2500 0.2500 0.2500  -0.06
3 Tm 0.0000 0.0000 0.0000  -0.20
4 Gd 0.6255 0.6255 0.1234  7.16
5 Gd 0.6255 0.6255 0.6255  7.16
6 Gd 0.6255 0.1234 0.6255  7.16

## Properties
Total energy in eV per atom: -10.704
Calculated formation energy in eV/atom: 0.25

---

# 11
A plane-wave DFT calculation with GGA-PBE was carried out for a relaxed La2GdTm crystal.

a b c (Å): 3.6836 3.6836 10.0930
angles (deg): 90.00 90.00 90.00
Site moments in Bohr magnetons follow the coordinates.
Sites, in units of the cell vectors:
1 La 0.0000 0.0000 0.2452  0.01
2 Gd 0.5000 0.5000 0.5000  -7.27
3 Tm 0.5000 0.5000 0.0000  0.16
4 La 0.0000 0.0000 0.7548  0.01

## Properties
Total energy in eV per atom: -7.084
Calculated formation energy in eV/atom: 0.02

---

# 12
A plane-wave DFT calculation with GGA-PBE was carried out for a relaxed LaGd2Tm crystal.

a b c (Å): 3.5041 3.5041 12.6296
angles (deg): 82.03 82.03 60.00
Site moments in Bohr magnetons follow the coordinates.
Sites, in units of the cell vectors:
1 Gd 0.9092 0.9092 0.2724  7.19
2 La 0.0000 0.0000 0.0000  0.08
3 Tm 0.5000 0.5000 0.5000  -0.11
4 Gd 0.0908 0.0908 0.7276  7.19

## Properties
Total energy in eV per atom: -9.264
Calculated formation energy in eV/atom: 0.13

---

# 13
A plane-wave DFT calculation with GGA-PBE was carried out for a relaxed LaGdTm4 crystal.

a b c (Å): 6.5937 6.5937 6.5937
angles (deg): 60.00 60.00 60.00
Site moments in Bohr magnetons follow the coordinates.
Sites, in units of the cell vectors:
1 Tm 0.1242 0.6253 0.6253  0.11
2 Tm 0.6253 0.1242 0.6253  0.11
3 Tm 0.6253 0.6253 0.6253  0.11
4 Tm 0.6253 0.6253 0.1242  0.11
5 Gd 0.0000 0.0000 0.0000  7.49
6 La 0.2500 0.2500 0.2500  0.01

## Properties
Total energy in eV per atom: -5.893
Calculated formation energy in eV/atom: 0.26

---

# 14
A plane-wave DFT calculation with GGA-PBE was carried out for a relaxed LaGdYTm crystal.

a b c (Å): 5.7392 5.7392 5.7392
angles (deg): 60.00 60.00 60.00
Site moments in Bohr magnetons follow the coordinates.
Sites, in units of the cell vectors:
1 Tm 0.2500 0.2500 0.2500  0.04
2 Y 0.7500 0.7500 0.7500  0.04
3 Gd 0.0000 0.0000 0.0000  7.21
4 La 0.5000 0.5000 0.5000  -0.02

## Properties
Total energy in eV per atom: -7.396
Calculated formation energy in eV/atom: 0.09

---

# 15
A plane-wave DFT calculation with GGA-PBE was carried out for a relaxed LaGd2V crystal.

a b c (Å): 3.4230 3.4230 11.7661
angles (deg): 81.64 81.64 60.00
Site moments in Bohr magnetons follow the coordinates.
Sites, in units of the cell vectors:
1 Gd 0.0782 0.0782 0.7655  7.11
2 Gd 0.9218 0.9218 0.2345  7.11
3 V 0.0000 0.0000 0.0000  -2.58
4 La 0.5000 0.5000 0.5000  -0.09

## Properties
Total energy in eV per atom: -9.950
Calculated formation energy in eV/atom: 0.60

---

# 16
A plane-wave DFT calculation with GGA-PBE was carried out for a relaxed La2GdY crystal.

a b c (Å): 5.8353 5.8353 5.8353
angles (deg): 60.00 60.00 60.00
Site moments in Bohr magnetons follow the coordinates.
Sites, in units of the cell vectors:
1 Y 0.0000 0.0000 0.0000  -0.01
2 Gd 0.5000 0.5000 0.5000  -7.24
3 La 0.2500 0.2500 0.2500  -0.06
4 La 0.7500 0.7500 0.7500  -0.06

## Properties
Total energy in eV per atom: -7.516
Calculated formation energy in eV/atom: 0.08